VASP calculation (PBE) on an optimized crystal structure of Tl2MoW.

The structure in CIF format:
```
data_Tl2MoW
_cell_length_a 9.747
_cell_length_b 3.001
_cell_length_c 5.392
_cell_angle_alpha 90.00
_cell_angle_beta 100.53
_cell_angle_gamma 90.00
_space_group_name_H-M_alt 'C 1 2/m 1'
_space_group_IT_number 12
loop_
_space_group_symop_operation_xyz
'x,y,z'
'-x,-y,-z'
'-x,y,-z'
'x,-y,z'
'x+1/2,y+1/2,z'
'-x+1/2,-y+1/2,-z'
'-x+1/2,y+1/2,-z'
'x+1/2,-y+1/2,z'
loop_
_atom_site_label
_atom_site_type_symbol
_atom_site_fract_x
_atom_site_fract_y
_atom_site_fract_z
Tl1 Tl 0.249 0.000 0.250
Mo1 Mo 0.000 0.500 0.000
W1 W 0.000 0.000 0.500
```

The relative energy among the computed polymorphs is 449 meV per atom. Its crystal system is monoclinic. The value obtained for the formation energy is 0.9923 eV/atom. As for the density of states at the Fermi level: 7.91 states/eV per cell. The value obtained for the total magnetization is 0.00 μB per formula unit.

---

VASP calculation (PBE) on an optimized crystal structure of Tl2MoW.

The structure in CIF format:
```
data_Tl2MoW
_cell_length_a 3.0491
_cell_length_b 3.0491
_cell_length_c 28.9445
_cell_angle_alpha 90.00
_cell_angle_beta 90.00
_cell_angle_gamma 120.00
_space_group_name_H-M_alt 'R -3 m'
_space_group_IT_number 166
_space_group_name_Hall '-R 3 2"'
loop_
_atom_site_label
_atom_site_type_symbol
_atom_site_fract_x
_atom_site_fract_y
_atom_site_fract_z
Tl1 Tl 0.0000 0.0000 0.2493
Mo1 Mo 0.0000 0.0000 0.5000
W1 W 0.0000 0.0000 0.0000
```

The relative energy among the computed polymorphs is 455 meV per atom. Its crystal system is trigonal. The value obtained for the formation energy is 0.9983 eV/atom. As for the density of states at the Fermi level: 11.23 states/eV per cell. The value obtained for the total magnetization is 0.02 μB per formula unit.

---

VASP calculation (PBE) on an optimized crystal structure of TlMoW.

The structure in CIF format:
```
data_TlMoW
_cell_length_a 4.6606
_cell_length_b 4.6606
_cell_length_c 2.8708
_cell_angle_alpha 90.00
_cell_angle_beta 90.00
_cell_angle_gamma 120.00
_space_group_name_H-M_alt 'P 3 m 1'
_space_group_IT_number 156
loop_
_space_group_symop_operation_xyz
'x,y,z'
'-y,x-y,z'
'-x+y,-x,z'
'-y,-x,z'
'-x+y,y,z'
'x,x-y,z'
loop_
_atom_site_label
_atom_site_type_symbol
_atom_site_fract_x
_atom_site_fract_y
_atom_site_fract_z
Tl1 Tl 0.0000 0.0000 0.0000
Mo1 Mo 0.3333 0.6667 0.6172
W1 W 0.6667 0.3333 0.3792
```

The relative energy among the computed polymorphs is 154 meV per atom. Its crystal system is trigonal. The value obtained for the formation energy is 0.7728 eV/atom. As for the density of states at the Fermi level: 2.56 states/eV per cell. The value obtained for the total magnetization is 0.00 μB per formula unit.

---

VASP calculation (PBE) on an optimized crystal structure of TlMoW.

The structure in CIF format:
```
data_TlMoW
_cell_length_a 3.350
_cell_length_b 3.350
_cell_length_c 9.762
_cell_angle_alpha 90.00
_cell_angle_beta 90.00
_cell_angle_gamma 90.00
_space_group_name_H-M_alt 'I 4 m m'
_space_group_IT_number 107
_space_group_name_Hall 'I 4 -2'
loop_
_atom_site_label
_atom_site_type_symbol
_atom_site_fract_x
_atom_site_fract_y
_atom_site_fract_z
Tl1 Tl 0.000 0.000 0.000
Mo1 Mo 0.000 0.000 0.686
W1 W 0.000 0.000 0.314
```

The relative energy among the computed polymorphs is 14 meV per atom. Its crystal system is tetragonal. The value obtained for the formation energy is 0.6318 eV/atom. As for the density of states at the Fermi level: 4.78 states/eV per cell. The value obtained for the total magnetization is 0.00 μB per formula unit.

---

VASP calculation (PBE) on an optimized crystal structure of TlMo2W.

The structure in CIF format:
```
data_TlMo2W
_cell_length_a 5.701
_cell_length_b 9.160
_cell_length_c 2.812
_cell_angle_alpha 90.00
_cell_angle_beta 108.44
_cell_angle_gamma 90.00
_space_group_name_H-M_alt 'C 1 2/m 1'
_space_group_IT_number 12
loop_
_space_group_symop_operation_xyz
'x,y,z'
'-x,-y,-z'
'-x,y,-z'
'x,-y,z'
'x+1/2,y+1/2,z'
'-x+1/2,-y+1/2,-z'
'-x+1/2,y+1/2,-z'
'x+1/2,-y+1/2,z'
loop_
_atom_site_label
_atom_site_type_symbol
_atom_site_fract_x
_atom_site_fract_y
_atom_site_fract_z
Tl1 Tl 0.000 0.000 0.000
Mo1 Mo 0.250 0.250 0.500
W1 W 0.000 0.500 0.000
```

The relative energy among the computed polymorphs is 254 meV per atom. Its crystal system is monoclinic. The value obtained for the formation energy is 0.6919 eV/atom. As for the density of states at the Fermi level: 6.68 states/eV per cell. The value obtained for the total magnetization is 0.00 μB per formula unit.

---

VASP calculation (PBE) on an optimized crystal structure of TlMoW3.

The structure in CIF format:
```
data_TlMoW3
_cell_length_a 4.793
_cell_length_b 4.793
_cell_length_c 4.793
_cell_angle_alpha 90.00
_cell_angle_beta 90.00
_cell_angle_gamma 90.00
_space_group_name_H-M_alt 'P m -3 m'
_space_group_IT_number 221
_space_group_name_Hall '-P 4 2 3'
loop_
_atom_site_label
_atom_site_type_symbol
_atom_site_fract_x
_atom_site_fract_y
_atom_site_fract_z
Tl1 Tl 0.000 0.000 0.000
Mo1 Mo 0.500 0.500 0.500
W1 W 0.000 0.500 0.500
```

The relative energy among the computed polymorphs is 0 meV per atom. Its crystal system is cubic. The value obtained for the formation energy is 2.0737 eV/atom. As for the density of states at the Fermi level: 5.64 states/eV per cell. The value obtained for the total magnetization is 0.00 μB per formula unit.

---

VASP calculation (PBE) on an optimized crystal structure of Tl2MoW.

The structure in CIF format:
```
data_Tl2MoW
_cell_length_a 3.230
_cell_length_b 5.018
_cell_length_c 9.655
_cell_angle_alpha 90.00
_cell_angle_beta 90.00
_cell_angle_gamma 90.00
_space_group_name_H-M_alt 'I m m m'
_space_group_IT_number 71
_space_group_name_Hall '-I 2 2'
loop_
_atom_site_label
_atom_site_type_symbol
_atom_site_fract_x
_atom_site_fract_y
_atom_site_fract_z
Tl1 Tl 0.000 0.000 0.249
Mo1 Mo 0.000 0.500 0.500
W1 W 0.000 0.500 0.000
```

The relative energy among the computed polymorphs is 472 meV per atom. Its crystal system is orthorhombic. The value obtained for the formation energy is 1.0155 eV/atom. As for the density of states at the Fermi level: 6.35 states/eV per cell. The value obtained for the total magnetization is 0.00 μB per formula unit.

---

VASP calculation (PBE) on an optimized crystal structure of Tl2MoW.

The structure in CIF format:
```
data_Tl2MoW
_cell_length_a 3.203
_cell_length_b 3.221
_cell_length_c 8.638
_cell_angle_alpha 90.00
_cell_angle_beta 99.31
_cell_angle_gamma 90.00
_space_group_name_H-M_alt 'P 1 m 1'
_space_group_IT_number 6
loop_
_space_group_symop_operation_xyz
'x,y,z'
'x,-y,z'
loop_
_atom_site_label
_atom_site_type_symbol
_atom_site_fract_x
_atom_site_fract_y
_atom_site_fract_z
Tl1 Tl 0.000 0.000 0.000
Tl2 Tl 0.214 0.500 0.338
Mo1 Mo 0.414 0.500 0.747
W1 W 0.799 0.000 0.593
```

The relative energy among the computed polymorphs is 9 meV per atom. Its crystal system is monoclinic. The value obtained for the formation energy is 0.5529 eV/atom. As for the density of states at the Fermi level: 2.39 states/eV per cell. The value obtained for the total magnetization is 0.00 μB per formula unit.

---

VASP calculation (PBE) on an optimized crystal structure of TlMo2W.

The structure in CIF format:
```
data_TlMo2W
_cell_length_a 6.521
_cell_length_b 6.521
_cell_length_c 6.521
_cell_angle_alpha 90.00
_cell_angle_beta 90.00
_cell_angle_gamma 90.00
_space_group_name_H-M_alt 'F m -3 m'
_space_group_IT_number 225
_space_group_name_Hall '-F 4 2 3'
loop_
_atom_site_label
_atom_site_type_symbol
_atom_site_fract_x
_atom_site_fract_y
_atom_site_fract_z
Tl1 Tl 0.000 0.000 0.000
Mo1 Mo 0.250 0.250 0.250
W1 W 0.000 0.000 0.500
```

The relative energy among the computed polymorphs is 207 meV per atom. Its crystal system is cubic. The value obtained for the formation energy is 0.6451 eV/atom. As for the density of states at the Fermi level: 11.40 states/eV per cell. The value obtained for the total magnetization is 0.00 μB per formula unit.

---

VASP calculation (PBE) on an optimized crystal structure of Tl2MoW.

The structure in CIF format:
```
data_Tl2MoW
_cell_length_a 2.913
_cell_length_b 2.913
_cell_length_c 9.226
_cell_angle_alpha 90.00
_cell_angle_beta 90.00
_cell_angle_gamma 90.00
_space_group_name_H-M_alt 'P 4/m m m'
_space_group_IT_number 123
_space_group_name_Hall '-P 4 2'
loop_
_atom_site_label
_atom_site_type_symbol
_atom_site_fract_x
_atom_site_fract_y
_atom_site_fract_z
Tl1 Tl 0.000 0.000 0.247
Mo1 Mo 0.500 0.500 0.000
W1 W 0.500 0.500 0.500
```

The relative energy among the computed polymorphs is 615 meV per atom. Its crystal system is tetragonal. The value obtained for the formation energy is 1.1583 eV/atom. As for the density of states at the Fermi level: 4.59 states/eV per cell. The value obtained for the total magnetization is 0.12 μB per formula unit.

---

VASP calculation (PBE) on an optimized crystal structure of TlMoW4.

The structure in CIF format:
```
data_TlMoW4
_cell_length_a 7.533
_cell_length_b 7.533
_cell_length_c 7.533
_cell_angle_alpha 90.00
_cell_angle_beta 90.00
_cell_angle_gamma 90.00
_space_group_name_H-M_alt 'F -4 3 m'
_space_group_IT_number 216
_space_group_name_Hall 'F -4 2 3'
loop_
_atom_site_label
_atom_site_type_symbol
_atom_site_fract_x
_atom_site_fract_y
_atom_site_fract_z
Tl1 Tl 0.000 0.000 0.000
Mo1 Mo 0.250 0.250 0.250
W1 W 0.125 0.125 0.625
```

Its crystal system is cubic. The value obtained for the formation energy is 0.6267 eV/atom. As for the density of states at the Fermi level: 19.39 states/eV per cell. The value obtained for the total magnetization is 0.00 μB per formula unit.

---

VASP calculation (PBE) on an optimized crystal structure of Tl2MoW.

The structure in CIF format:
```
data_Tl2MoW
_cell_length_a 5.890
_cell_length_b 9.123
_cell_length_c 2.912
_cell_angle_alpha 90.00
_cell_angle_beta 90.00
_cell_angle_gamma 90.00
_space_group_name_H-M_alt 'C m m m'
_space_group_IT_number 65
_space_group_name_Hall '-C 2 2'
loop_
_atom_site_label
_atom_site_type_symbol
_atom_site_fract_x
_atom_site_fract_y
_atom_site_fract_z
Tl1 Tl 0.250 0.250 0.000
Mo1 Mo 0.000 0.000 0.500
W1 W 0.000 0.500 0.500
```

The relative energy among the computed polymorphs is 627 meV per atom. Its crystal system is orthorhombic. The value obtained for the formation energy is 1.1701 eV/atom. As for the density of states at the Fermi level: 9.18 states/eV per cell. The value obtained for the total magnetization is 0.58 μB per formula unit.